NpAlCr2O8 (PBE with a Hubbard U, relaxed); energy = -8.252 eV per atom
1.0
-3.3716 3.1721 0.1368
-3.0646 -3.3464 0.9249
0.9764 0.7771 6.0472
Cr O Np Al
2 8 1 1
Direct
0.5000 0.5000 0.7664 Cr
0.5000 0.5000 0.2336 Cr
0.8068 0.1933 0.7635 O
0.6896 0.6897 0.5000 O
0.8068 0.1933 0.2365 O
0.1932 0.8067 0.7635 O
0.3104 0.3103 0.5000 O
0.2983 0.2982 0.0000 O
0.7017 0.7018 0.0000 O
0.1932 0.8067 0.2365 O
0.0000 0.0000 0.5000 Np
0.0000 0.0000 0.0000 Al